1.
PrHfCo | PBE | relaxed

Results
Total DFT energy (no corrections) ... -22.5 eV per formula unit
Calculated volume ... 66.4 Å³/f.u.
Space group ... P4/nmm, No. 129
ρ ... 9.5 Mg/m³
Crystal system ... tetragonal

Cell lengths 4.529, 4.529, 6.478 Å; angles 90.00, 90.00, 90.00 degrees
Sites, in units of the cell vectors:
Pr1 0.250 0.250 0.117
Pr2 0.750 0.750 0.883
Hf1 0.250 0.750 0.500
Hf2 0.750 0.250 0.500
Co1 0.250 0.250 0.692
Co2 0.750 0.750 0.308

2.
Cr3BN | PBE | relaxed

Results
ΔE to the lowest computed polymorph ... 0.000 eV/atom
Calculated volume ... 50.4 Å³/f.u.
Space group ... Pm-3m, No. 221
ρ ... 6.0 Mg/m³
Crystal system ... cubic

Cell lengths 3.695, 3.695, 3.695 Å; angles 90.00, 90.00, 90.00 degrees
Sites, in units of the cell vectors:
Cr1 0.000 0.000 0.500
Cr2 0.000 0.500 0.000
Cr3 0.500 0.000 0.000
B1 0.500 0.500 0.500
N1 0.000 0.000 0.000

3.
FeReSbI2 | PBE | relaxed

Results
Total DFT energy (no corrections) ... -19.8 eV per formula unit
Calculated volume ... 119.2 Å³/f.u.
Space group ... P4/mmm, No. 123
ρ ... 8.6 Mg/m³
Crystal system ... tetragonal

Cell lengths 4.955, 4.955, 4.856 Å; angles 90.00, 90.00, 90.00 degrees
Sites, in units of the cell vectors:
Fe1 0.000 0.000 0.000
Re1 0.500 0.500 0.500
Sb1 0.000 0.000 0.500
I1 0.000 0.500 0.000
I2 0.500 0.000 0.000

4.
LiPmZn3Pd | PBE | relaxed

Results
Total DFT energy (no corrections) ... -17.5 eV per formula unit
Calculated volume ... 107.2 Å³/f.u.
Space group ... Cmcm, No. 63
ρ ... 7.0 Mg/m³
Crystal system ... orthorhombic

Cell lengths 7.100, 7.100, 5.620 Å; angles 90.00, 90.00, 130.84 degrees
Sites, in units of the cell vectors:
Li1 0.080 0.920 0.750
Li2 0.920 0.080 0.250
Pm1 0.294 0.706 0.750
Pm2 0.706 0.294 0.250
Zn1 0.132 0.868 0.250
Zn2 0.289 0.289 0.000
Zn3 0.289 0.289 0.500
Zn4 0.711 0.711 0.000
Zn5 0.711 0.711 0.500
Zn6 0.868 0.132 0.750
Pd1 0.344 0.656 0.250
Pd2 0.656 0.344 0.750

Which of these has the highest ρ? PrHfCo

What is the formula in the second record? Cr3BN